LuScCdAg: relaxed, PBE.

abc: 5.0295 5.0295 5.0295
angles: 60.00 60.00 60.00
Positions (direct):
Ag 0.2500 0.2500 0.2500
Cd 0.7500 0.7500 0.7500
Sc 0.5000 0.5000 0.5000
Lu 0.0000 0.0000 0.0000

NaPd3Ru: relaxed, PBE.

As for the energy above the most stable polymorph in this dataset: 0 meV/atom.

abc: 4.8557 4.8557 4.8557
angles: 90.00 90.00 90.00
Site moments in Bohr magnetons follow the coordinates.
Positions (direct):
Na 0.5000 0.5000 0.5000  0.00
Ru 0.0000 0.0000 0.0000  0.88
Pd 0.0000 0.0000 0.5000  0.32
Pd 0.0000 0.5000 0.0000  0.15
Pd 0.5000 0.0000 0.0000  0.05

Be2Tl2Pd: relaxed, PBE.

As for the energy above the most stable polymorph in this dataset: 185 meV/atom.

abc: 7.5330 7.5330 3.1764
angles: 90.00 90.00 90.00
Positions (direct):
Tl 0.1878 0.3122 0.0000
Be 0.6044 0.8956 0.5000
Pd 0.0000 0.0000 0.0000
Pd 0.5000 0.5000 0.0000
Tl 0.6878 0.1878 0.0000
Be 0.1044 0.6044 0.5000
Tl 0.3122 0.8122 0.0000
Be 0.3956 0.1044 0.5000
Tl 0.8122 0.6878 0.0000
Be 0.8956 0.3956 0.5000

LiTm2Ge4Pd3: relaxed, PBE.

abc: 4.0146 4.0146 11.2911
angles: 90.00 90.00 90.00
Positions (direct):
Tm 0.5000 0.0000 0.2618
Pd 0.0000 0.5000 0.1442
Pd 0.5000 0.0000 0.8558
Ge 0.0000 0.0000 0.0000
Ge 0.0000 0.5000 0.3621
Tm 0.0000 0.5000 0.7382
Ge 0.5000 0.0000 0.6379
Ge 0.5000 0.5000 0.0000
Li 0.5000 0.5000 0.5000
Pd 0.0000 0.0000 0.5000

Number 1: total moment 0.00 μB/cell, energy -0.1446 Ha/atom. Number 2: total moment 1.39 μB/cell, energy -0.1623 Ha/atom. Number 3: total moment 0.00 μB/cell, energy -0.1069 Ha/atom. Number 4: total moment 0.00 μB/cell, energy -0.1903 Ha/atom.